# PBE MgBeSn2, optimized geometry
# final energy = -12.429 eV/f.u.
# energy of formation from the pure elements = 0.22 eV/atom
# ρ = 4.6 g/cm³
# volume = 97 Å³/f.u.
# density of states at the Fermi level = 0.00 states/eV per cell
data_MgBeSn2
_chemical_formula_sum 'Mg4 Be4 Sn8'
_space_group_name_H-M_alt 'I -4 2 d'
_space_group_IT_number 122
_space_group_name_Hall 'I -4 2bw'
_cell_length_a 4.850
_cell_length_b 4.850
_cell_length_c 16.523
_cell_angle_alpha 90.00
_cell_angle_beta 90.00
_cell_angle_gamma 90.00
loop_
_atom_site_label
_atom_site_type_symbol
_atom_site_fract_x
_atom_site_fract_y
_atom_site_fract_z
Mg1 Mg 0.000 0.000 0.000
Be1 Be 0.000 0.000 0.500
Sn1 Sn 0.186 0.250 0.625